Record 1
The following is a DFT calculation (SCAN) of LaMg2ReSe at its PBEsol-relaxed geometry.

Properties
The calculation puts the calculated volume at 23.4 A^3/atom. The calculation puts the uncorrected energy at -28.43 eV/atom.

Cell: 4.9994 4.9994 4.6797 Å, 90.00 90.00 90.00°
Last column: nearest neighbours and their distance in Å.
Fractional coordinates of all 5 atoms:
La1 0.0000 0.0000 0.0000  8 Mg 3.42, 4 Re 3.54
Mg1 0.0000 0.5000 0.5000  2 Se 2.50
Mg2 0.5000 0.0000 0.5000  2 Se 2.50
Re1 0.5000 0.5000 0.0000  2 Se 2.34
Se1 0.5000 0.5000 0.5000  2 Re 2.34, 4 Mg 2.50



Record 2
The following is a DFT calculation (SCAN) of Rb3FeMo at its PBEsol-relaxed geometry.

Properties
The calculation puts the calculated volume at 65.5 A^3/atom. The energy of formation comes out at 1.65 eV/atom.

Cell: 6.8933 6.8933 6.8933 Å, 90.00 90.00 90.00°
Last column: nearest neighbours and their distance in Å.
Fractional coordinates of all 5 atoms:
Rb1 0.0000 0.0000 0.5000  2 Mo 3.45
Rb2 0.0000 0.5000 0.0000  2 Mo 3.45
Rb3 0.5000 0.0000 0.0000  2 Mo 3.45
Fe1 0.5000 0.5000 0.5000  12 Rb 4.87
Mo1 0.0000 0.0000 0.0000  6 Rb 3.45